{"formula": "ErFe4Pt", "functional": "PBE-GGA", "state": "relaxed", "lattice": [[4.974, 0.000, 0.000], [2.487, 4.307, 0.000], [2.487, 1.436, 4.061]], "species": ["Fe", "Fe", "Fe", "Er", "Pt", "Fe"], "frac_coords": [[0.125, 0.625, 0.625], [0.625, 0.625, 0.625], [0.625, 0.625, 0.125], [0.000, 0.000, 0.000], [0.250, 0.250, 0.250], [0.625, 0.125, 0.625]], "n_ef_per_ev_cell": 6.08, "volume_a3_per_atom": 14.501, "formation_enthalpy_0k_kj_per_mol_fu": -126.7, "energy_ev_per_atom": -7.628}